No. 1
Density functional theory data (PBE) for a relaxed structure of Zn2SiF2.

Properties
DOS at the Fermi energy in states/eV/atom: 0.25
Crystal system: tetragonal
Distance to the lowest polymorph of the same formula in meV/atom: 0
Magnetization in μB/atom: 0.0000

abc: 3.4044 3.4044 6.4042
angles: 74.59 74.59 90.00
Last column: nearest neighbours and their distance in Å.
Sites, in units of the cell vectors:
F: 0.7500 0.2500 0.5000  4 Zn 2.17, 4 F 2.41
F: 0.2500 0.7500 0.5000  4 Zn 2.17, 4 F 2.41
Si: 0.0000 0.0000 0.0000  8 Zn 2.90
Zn: 0.3631 0.3631 0.2739  4 F 2.17
Zn: 0.6369 0.6369 0.7261  4 F 2.17

---

No. 2
Density functional theory data (PBE) for a relaxed structure of Zn2Si2F.

Properties
DOS at the Fermi energy in states/eV/atom: 0.31
Crystal system: tetragonal
Distance to the lowest polymorph of the same formula in meV/atom: 0
Magnetization in μB/atom: 0.0000

abc: 3.4517 3.4517 7.1290
angles: 75.99 75.99 90.00
Last column: nearest neighbours and their distance in Å.
Sites, in units of the cell vectors:
Zn: 0.5928 0.5928 0.8144  1 Zn 2.49, 4 Si 2.72, 4 F 2.74
Zn: 0.4072 0.4072 0.1856  1 Zn 2.49, 4 Si 2.72, 4 F 2.74
F: 0.0000 0.0000 0.0000  8 Zn 2.74
Si: 0.2500 0.7500 0.5000  4 Si 2.44, 4 Zn 2.72
Si: 0.7500 0.2500 0.5000  4 Si 2.44, 4 Zn 2.72

---

No. 3
Density functional theory data (PBE) for a relaxed structure of ZnSiF6.

Properties
DOS at the Fermi energy in states/eV/atom: 0.00
Crystal system: trigonal
Magnetization in μB/atom: 0.0000
Total energy in eV/f.u.: -40.35

abc: 4.8463 4.8463 8.9371
angles: 90.00 90.00 120.00
Last column: nearest neighbours and their distance in Å.
Sites, in units of the cell vectors:
F: 0.0233 0.7229 0.3891  1 Si 1.72
F: 0.0233 0.3004 0.1109  1 Si 1.72
F: 0.3004 0.2771 0.8891  1 Si 1.72
F: 0.9767 0.6996 0.8891  1 Si 1.72
F: 0.7229 0.0233 0.8891  1 Si 1.72
F: 0.2771 0.9767 0.1109  1 Si 1.72
F: 0.9767 0.2771 0.6109  1 Si 1.72
F: 0.6996 0.7229 0.1109  1 Si 1.72
F: 0.7229 0.6996 0.6109  1 Si 1.72
F: 0.2771 0.3004 0.3891  1 Si 1.72
F: 0.6996 0.9767 0.3891  1 Si 1.72
F: 0.3004 0.0233 0.6109  1 Si 1.72
Si: 0.0000 0.0000 0.5000  6 F 1.72
Si: 0.0000 0.0000 0.0000  6 F 1.72
Zn: 0.3333 0.6667 0.2500  6 F 2.07
Zn: 0.6667 0.3333 0.7500  6 F 2.07

---

No. 4
Density functional theory data (PBE) for a relaxed structure of Zn2Si2F.

Properties
DOS at the Fermi energy in states/eV/atom: 0.44
Crystal system: tetragonal
Distance to the lowest polymorph of the same formula in meV/atom: 119
Magnetization in μB/atom: 0.0000

abc: 7.6091 7.6091 2.6652
angles: 90.00 90.00 90.00
Last column: nearest neighbours and their distance in Å.
Sites, in units of the cell vectors:
Zn: 0.8281 0.6719 0.0000  6 Si 2.52-2.67, 2 Zn 2.67, 2 F 2.82
Zn: 0.1719 0.3281 0.0000  6 Si 2.52-2.67, 2 Zn 2.67, 2 F 2.82
Zn: 0.3281 0.8281 0.0000  6 Si 2.52-2.67, 2 Zn 2.67, 2 F 2.82
Zn: 0.6719 0.1719 0.0000  6 Si 2.52-2.67, 2 Zn 2.67, 2 F 2.82
Si: 0.3710 0.1290 0.5000  6 Zn 2.52-2.67, 3 Si 2.67-2.78
Si: 0.6290 0.8710 0.5000  6 Zn 2.52-2.67, 3 Si 2.67-2.78
Si: 0.8710 0.3710 0.5000  6 Zn 2.52-2.67, 3 Si 2.67-2.78
Si: 0.1290 0.6290 0.5000  6 Zn 2.52-2.67, 3 Si 2.67-2.78
F: 0.0000 0.0000 0.0000  2 F 2.67, 4 Zn 2.82
F: 0.5000 0.5000 0.0000  2 F 2.67, 4 Zn 2.82

---

No. 5
Density functional theory data (PBE) for a relaxed structure of ZnSi2F8.

Properties
DOS at the Fermi energy in states/eV/atom: 0.00
Crystal system: monoclinic
Magnetization in μB/atom: 0.0000
Total energy in eV/f.u.: -57.06

abc: 7.8175 5.7781 5.7781
angles: 59.98 105.79 105.79
Last column: nearest neighbours and their distance in Å.
Sites, in units of the cell vectors:
F: 0.2231 0.0271 0.5777  1 Si 1.58
F: 0.7769 0.4223 0.9729  1 Si 1.58
F: 0.2687 0.5918 0.5918  1 Si 1.58
F: 0.5173 0.8323 0.8323  1 Si 1.59
F: 0.4827 0.1677 0.1677  1 Si 1.59
F: 0.7769 0.9729 0.4223  1 Si 1.58
F: 0.7313 0.4082 0.4082  1 Si 1.58
F: 0.2231 0.5777 0.0271  1 Si 1.58
Zn: 0.0000 0.0000 0.0000  14 F 3.29-3.62
Si: 0.6946 0.2436 0.2436  4 F 1.58-1.59
Si: 0.3054 0.7564 0.7564  4 F 1.58-1.59

---

No. 6
Density functional theory data (PBE) for a relaxed structure of Zn2SiF.

Properties
DOS at the Fermi energy in states/eV/atom: 0.88
Crystal system: cubic
Distance to the lowest polymorph of the same formula in meV/atom: 185
Magnetization in μB/atom: 0.0599

abc: 4.3583 4.3583 4.3583
angles: 60.00 60.00 60.00
Last column: nearest neighbours and their distance in Å.
Sites, in units of the cell vectors:
Zn: 0.2500 0.2500 0.2500  4 Si 2.67, 4 F 2.67
Zn: 0.7500 0.7500 0.7500  4 Si 2.67, 4 F 2.67
Si: 0.5000 0.5000 0.5000  8 Zn 2.67
F: 0.0000 0.0000 0.0000  8 Zn 2.67

---

No. 7
Density functional theory data (PBE) for a relaxed structure of ZnSi3F.

Properties
DOS at the Fermi energy in states/eV/atom: 0.62
Crystal system: cubic
Distance to the lowest polymorph of the same formula in meV/atom: 250
Magnetization in μB/atom: 0.0000

abc: 4.6748 4.6748 4.6748
angles: 90.00 90.00 90.00
Last column: nearest neighbours and their distance in Å.
Sites, in units of the cell vectors:
Zn: 0.0000 0.0000 0.0000  6 Si 2.34
Si: 0.0000 0.5000 0.0000  2 Zn 2.34
Si: 0.0000 0.0000 0.5000  2 Zn 2.34
Si: 0.5000 0.0000 0.0000  2 Zn 2.34
F: 0.5000 0.5000 0.5000  12 Si 3.31

---

No. 8
Density functional theory data (PBE) for a relaxed structure of ZnSi3F.

Properties
DOS at the Fermi energy in states/eV/atom: 0.63
Crystal system: cubic
Distance to the lowest polymorph of the same formula in meV/atom: 0
Magnetization in μB/atom: 0.0000

abc: 4.4062 4.4062 4.4062
angles: 90.00 90.00 90.00
Last column: nearest neighbours and their distance in Å.
Sites, in units of the cell vectors:
F: 0.0000 0.0000 0.0000  6 Si 2.20
Zn: 0.5000 0.5000 0.5000  12 Si 3.12
Si: 0.0000 0.0000 0.5000  2 F 2.20
Si: 0.5000 0.0000 0.0000  2 F 2.20
Si: 0.0000 0.5000 0.0000  2 F 2.20

---

No. 9
Density functional theory data (PBE) for a relaxed structure of Zn2SiF2.

Properties
DOS at the Fermi energy in states/eV/atom: 0.30
Crystal system: tetragonal
Distance to the lowest polymorph of the same formula in meV/atom: 221
Magnetization in μB/atom: 0.0000

abc: 7.0525 7.0525 2.7809
angles: 90.00 90.00 90.00
Last column: nearest neighbours and their distance in Å.
Sites, in units of the cell vectors:
Zn: 0.1491 0.3509 0.0000  4 F 2.34
Zn: 0.8509 0.6491 0.0000  4 F 2.34
Zn: 0.6491 0.1491 0.0000  4 F 2.34
Zn: 0.3509 0.8509 0.0000  4 F 2.34
Si: 0.5000 0.5000 0.0000  4 Zn 2.69, 2 Si 2.78
Si: 0.0000 0.0000 0.0000  4 Zn 2.69, 2 Si 2.78
F: 0.6165 0.8835 0.5000  1 F 2.32, 4 Zn 2.34
F: 0.3835 0.1165 0.5000  1 F 2.32, 4 Zn 2.34
F: 0.1165 0.6165 0.5000  1 F 2.32, 4 Zn 2.34
F: 0.8835 0.3835 0.5000  1 F 2.32, 4 Zn 2.34

---

No. 10
Density functional theory data (PBE) for a relaxed structure of Zr2ZnSiF.

Properties
DOS at the Fermi energy in states/eV/atom: 0.87
Crystal system: tetragonal
Magnetization in μB/atom: 0.0001
Total energy in eV/f.u.: -24.21

abc: 5.0716 4.2101 5.0716
angles: 90.00 90.00 90.00
Last column: nearest neighbours and their distance in Å.
Sites, in units of the cell vectors:
F: 0.5000 0.5000 0.5000  8 Zr 3.30, 4 Si 3.59
Zn: 0.0000 0.0000 0.0000  2 Si 2.11
Zr: 0.5000 0.0000 0.0000  2 Zn 2.54
Zr: 0.0000 0.0000 0.5000  2 Zn 2.54
Si: 0.0000 0.5000 0.0000  2 Zn 2.11

---

No. 11
Density functional theory data (PBE) for a relaxed structure of ZrSi3F.

Properties
DOS at the Fermi energy in states/eV/atom: 1.50
Crystal system: cubic
Distance to the lowest polymorph of the same formula in meV/atom: 790
Magnetization in μB/atom: 0.0694

abc: 5.1069 5.1069 5.1069
angles: 90.00 90.00 90.00
Last column: nearest neighbours and their distance in Å.
Sites, in units of the cell vectors:
Si: 0.0000 0.5000 0.0000  2 Zr 2.55
Si: 0.0000 0.0000 0.5000  2 Zr 2.55
Si: 0.5000 0.0000 0.0000  2 Zr 2.55
Zr: 0.0000 0.0000 0.0000  6 Si 2.55
F: 0.5000 0.5000 0.5000  12 Si 3.61

---

No. 12
Density functional theory data (PBE) for a relaxed structure of Zr3SiF.

Properties
DOS at the Fermi energy in states/eV/atom: 1.42
Crystal system: cubic
Distance to the lowest polymorph of the same formula in meV/atom: 0
Magnetization in μB/atom: 0.0008

abc: 4.4606 4.4606 4.4606
angles: 90.00 90.00 90.00
Last column: nearest neighbours and their distance in Å.
Sites, in units of the cell vectors:
Si: 0.5000 0.5000 0.5000  12 Zr 3.15
Zr: 0.5000 0.0000 0.0000  2 F 2.23
Zr: 0.0000 0.0000 0.5000  2 F 2.23
Zr: 0.0000 0.5000 0.0000  2 F 2.23
F: 0.0000 0.0000 0.0000  6 Zr 2.23

---

No. 13
Density functional theory data (PBE) for a relaxed structure of ZrSiF2.

Properties
DOS at the Fermi energy in states/eV/atom: 0.04
Crystal system: trigonal
Distance to the lowest polymorph of the same formula in meV/atom: 694
Magnetization in μB/atom: 0.0000

abc: 5.4125 5.4125 5.4125
angles: 42.55 42.55 42.55
Last column: nearest neighbours and their distance in Å.
Sites, in units of the cell vectors:
F: 0.1450 0.1450 0.1450  1 Zr 2.14, 3 Si 2.29, 3 F 2.36
F: 0.8550 0.8550 0.8550  1 Zr 2.14, 3 Si 2.29, 3 F 2.36
Si: 0.5000 0.5000 0.5000  6 F 2.29
Zr: 0.0000 0.0000 0.0000  2 F 2.14

---

No. 14
Density functional theory data (PBE) for a relaxed structure of Zr2SiF.

Properties
DOS at the Fermi energy in states/eV/atom: 0.78
Crystal system: cubic
Distance to the lowest polymorph of the same formula in meV/atom: 0
Magnetization in μB/atom: 0.0000

abc: 4.5794 4.5794 4.5794
angles: 60.00 60.00 60.00
Last column: nearest neighbours and their distance in Å.
Sites, in units of the cell vectors:
Zr: 0.7500 0.7500 0.7500  4 F 2.80, 4 Si 2.80
Zr: 0.2500 0.2500 0.2500  4 Si 2.80, 4 F 2.80
F: 0.0000 0.0000 0.0000  8 Zr 2.80
Si: 0.5000 0.5000 0.5000  8 Zr 2.80

---

No. 15
Density functional theory data (PBE) for a relaxed structure of ZrSiF2.

Properties
DOS at the Fermi energy in states/eV/atom: 0.67
Crystal system: cubic
Distance to the lowest polymorph of the same formula in meV/atom: 629
Magnetization in μB/atom: 0.0000

abc: 4.2654 4.2654 4.2654
angles: 60.00 60.00 60.00
Last column: nearest neighbours and their distance in Å.
Sites, in units of the cell vectors:
F: 0.7500 0.7500 0.7500  4 Zr 2.61, 4 Si 2.61
F: 0.2500 0.2500 0.2500  4 Zr 2.61, 4 Si 2.61
Zr: 0.5000 0.5000 0.5000  8 F 2.61
Si: 0.0000 0.0000 0.0000  8 F 2.61

---

No. 16
Density functional theory data (PBE) for a relaxed structure of ZrSiF2.

Properties
DOS at the Fermi energy in states/eV/atom: 0.23
Crystal system: trigonal
Distance to the lowest polymorph of the same formula in meV/atom: 81
Magnetization in μB/atom: 0.0000

abc: 10.2288 10.2288 10.2288
angles: 16.28 16.28 16.28
Last column: nearest neighbours and their distance in Å.
Sites, in units of the cell vectors:
Si: 0.0000 0.0000 0.0000  6 Si 2.90
F: 0.1161 0.1161 0.1161  3 Zr 2.27
F: 0.8839 0.8839 0.8839  3 Zr 2.27
Zr: 0.5000 0.5000 0.5000  6 F 2.27

---

No. 17
Density functional theory data (PBE) for a relaxed structure of ZrSi3F.

Properties
DOS at the Fermi energy in states/eV/atom: 0.60
Crystal system: cubic
Distance to the lowest polymorph of the same formula in meV/atom: 0
Magnetization in μB/atom: 0.0000

abc: 4.3031 4.3031 4.3031
angles: 90.00 90.00 90.00
Last column: nearest neighbours and their distance in Å.
Sites, in units of the cell vectors:
Si: 0.0000 0.5000 0.0000  2 F 2.15
Si: 0.0000 0.0000 0.5000  2 F 2.15
Si: 0.5000 0.0000 0.0000  2 F 2.15
F: 0.0000 0.0000 0.0000  6 Si 2.15
Zr: 0.5000 0.5000 0.5000  12 Si 3.04

---

No. 18
Density functional theory data (PBE) for a relaxed structure of ZrSiF2.

Properties
DOS at the Fermi energy in states/eV/atom: 0.08
Crystal system: tetragonal
Distance to the lowest polymorph of the same formula in meV/atom: 0
Magnetization in μB/atom: 0.0000

abc: 3.9097 3.9097 8.2244
angles: 76.25 76.25 90.00
Last column: nearest neighbours and their distance in Å.
Sites, in units of the cell vectors:
F: 0.0663 0.6250 0.2500  2 Zr 2.29, 2 F 2.46, 2 Si 2.48
F: 0.3750 0.3163 0.7500  2 Zr 2.29, 2 F 2.46, 2 Si 2.48
F: 0.6837 0.1250 0.2500  2 Zr 2.29, 2 F 2.46, 2 Si 2.48
F: 0.8750 0.9337 0.7500  2 Zr 2.29, 2 F 2.46, 2 Si 2.48
Zr: 0.0000 0.0000 0.0000  4 F 2.29
Zr: 0.7500 0.2500 0.5000  4 F 2.29
Si: 0.5000 0.5000 0.0000  4 F 2.48, 4 Zr 2.76
Si: 0.2500 0.7500 0.5000  4 F 2.48, 4 Zr 2.76

---

No. 19
Density functional theory data (PBE) for a relaxed structure of Zr2SiF.

Properties
DOS at the Fermi energy in states/eV/atom: 0.75
Crystal system: tetragonal
Distance to the lowest polymorph of the same formula in meV/atom: 385
Magnetization in μB/atom: 0.0000

abc: 5.0976 5.0976 7.3385
angles: 69.68 69.68 90.00
Last column: nearest neighbours and their distance in Å.
Sites, in units of the cell vectors:
F: 0.2500 0.7500 0.5000  4 Zr 2.27
F: 0.5000 0.5000 0.0000  4 Zr 2.27
Si: 0.0000 0.0000 0.0000  4 Zr 2.57
Si: 0.7500 0.2500 0.5000  4 Zr 2.57
Zr: 0.3750 0.4320 0.7500  2 F 2.27
Zr: 0.8750 0.8180 0.7500  2 F 2.27
Zr: 0.1820 0.6250 0.2500  2 F 2.27
Zr: 0.5680 0.1250 0.2500  2 F 2.27

---

No. 20
Density functional theory data (PBE) for a relaxed structure of ZrSi2F.

Properties
DOS at the Fermi energy in states/eV/atom: 0.49
Crystal system: tetragonal
Distance to the lowest polymorph of the same formula in meV/atom: 73
Magnetization in μB/atom: 0.0000

abc: 4.6725 4.6725 7.4628
angles: 71.76 71.76 90.00
Last column: nearest neighbours and their distance in Å.
Sites, in units of the cell vectors:
Si: 0.4608 0.1250 0.2500  2 F 2.08
Si: 0.2892 0.6250 0.2500  2 F 2.08
Si: 0.8750 0.7108 0.7500  2 F 2.08
Si: 0.3750 0.5392 0.7500  2 F 2.08
Zr: 0.0000 0.0000 0.0000  4 Si 2.81
Zr: 0.7500 0.2500 0.5000  4 Si 2.81
F: 0.2500 0.7500 0.5000  4 Si 2.08
F: 0.5000 0.5000 0.0000  4 Si 2.08